DFT (PBE) results for a relaxed AgMoPb2 crystal.

Cell lengths 9.6665, 9.6665, 9.6665 Å; angles 19.64, 19.64, 19.64 degrees
Last column: nearest neighbours and their distance in Å.
Positions (direct):
Ag: 0.0000 0.0000 0.0000  6 Pb 3.13, 6 Ag 3.30
Mo: 0.5000 0.5000 0.5000  6 Pb 2.95, 6 Mo 3.30
Pb: 0.2458 0.2458 0.2458  3 Mo 2.95, 3 Ag 3.13, 6 Pb 3.30
Pb: 0.7542 0.7542 0.7542  3 Mo 2.95, 3 Ag 3.13, 6 Pb 3.30

Output
* final energy: -4.74 eV per atom
* DFT formation energy: 0.53 eV per atom
* polymorph energy (0 for the lowest one): 51 meV per atom

---

DFT (PBE) results for a relaxed Ag2MoPb crystal.

Cell lengths 4.8053, 4.8053, 4.8053 Å; angles 60.00, 60.00, 60.00 degrees
Last column: nearest neighbours and their distance in Å.
Positions (direct):
Ag: 0.0000 0.0000 0.0000  4 Mo 2.94, 4 Ag 2.94
Ag: 0.2500 0.2500 0.2500  4 Pb 2.94, 4 Ag 2.94
Mo: 0.7500 0.7500 0.7500  4 Pb 2.94, 4 Ag 2.94
Pb: 0.5000 0.5000 0.5000  4 Mo 2.94, 4 Ag 2.94

Output
* final energy: -4.43 eV per atom
* DFT formation energy: 0.64 eV per atom

---

DFT (PBE) results for a relaxed Ag2MoPb crystal.

Cell lengths 2.9809, 4.4115, 5.9291 Å; angles 90.00, 90.00, 90.00 degrees
Last column: nearest neighbours and their distance in Å.
Positions (direct):
Ag: 0.0000 0.0000 0.2283  3 Ag 2.71-2.98, 4 Mo 2.99
Ag: 0.0000 0.0000 0.7717  3 Ag 2.71-2.98, 4 Mo 2.99
Mo: 0.5000 0.5000 0.0000  2 Pb 2.96, 2 Mo 2.98, 8 Ag 2.99
Pb: 0.5000 0.5000 0.5000  2 Mo 2.96, 2 Pb 2.98, 8 Ag 3.11

Output
* final energy: -4.48 eV per atom
* DFT formation energy: 0.58 eV per atom

---

DFT (PBE) results for a relaxed AgMoPb2 crystal.

Cell lengths 5.1631, 5.1631, 3.3031 Å; angles 90.20, 90.20, 89.96 degrees
Last column: nearest neighbours and their distance in Å.
Positions (direct):
Ag: 0.0000 0.0000 0.0000  8 Pb 3.06-3.07, 2 Ag 3.30
Mo: 0.5000 0.5000 0.0000  8 Pb 3.06-3.07, 2 Mo 3.30
Pb: 0.0000 0.5000 0.5000  4 Mo 3.06-3.07, 4 Ag 3.06-3.07, 2 Pb 3.30
Pb: 0.5000 0.0000 0.5000  4 Mo 3.06-3.07, 4 Ag 3.06-3.07, 2 Pb 3.30

Output
* final energy: -4.67 eV per atom
* DFT formation energy: 0.60 eV per atom
* polymorph energy (0 for the lowest one): 120 meV per atom